! GGA-PBE Mg4SiAu, relaxed; values from VASP
&SYSTEM
  ibrav = 0, nat = 6, ntyp = 3
/
ATOMIC_SPECIES
Mg 24.30 Mg.upf
Si 28.09 Si.upf
Au 196.97 Au.upf
CELL_PARAMETERS angstrom
0.000 3.945 3.945
3.945 0.000 3.945
3.945 3.945 0.000
ATOMIC_POSITIONS crystal
Mg 0.875 0.375 0.375
Mg 0.375 0.375 0.875
Mg 0.375 0.875 0.375
Mg 0.375 0.375 0.375
Si 0.750 0.750 0.750
Au 0.000 0.000 0.000
! energy = -2.315 eV/atom
! theoretical density = 4358 kg/m³
! uncorrected formation energy = 0.199 eV/atom



! GGA-PBE MgSi2Au2, relaxed; values from VASP
&SYSTEM
  ibrav = 0, nat = 10, ntyp = 3
/
ATOMIC_SPECIES
Si 28.09 Si.upf
Au 196.97 Au.upf
Mg 24.30 Mg.upf
CELL_PARAMETERS angstrom
6.951 0.000 0.000
0.000 6.951 0.000
0.000 0.000 3.747
ATOMIC_POSITIONS crystal
Si 0.383 0.883 0.000
Si 0.883 0.617 0.000
Si 0.617 0.117 0.000
Si 0.117 0.383 0.000
Au 0.209 0.709 0.500
Au 0.709 0.791 0.500
Au 0.791 0.291 0.500
Au 0.291 0.209 0.500
Mg 0.000 0.000 0.000
Mg 0.500 0.500 0.000
! energy = -3.745 eV/atom
! theoretical density = 8702 kg/m³
! relative energy among the computed polymorphs = 143 meV per atom
! uncorrected formation energy = 0.054 eV/atom



! GGA-PBE Mg2Si2Au, relaxed; values from VASP
&SYSTEM
  ibrav = 0, nat = 5, ntyp = 3
/
ATOMIC_SPECIES
Si 28.09 Si.upf
Au 196.97 Au.upf
Mg 24.30 Mg.upf
CELL_PARAMETERS angstrom
4.260 0.000 0.000
0.000 4.260 0.000
2.130 2.130 5.459
ATOMIC_POSITIONS crystal
Si 0.398 0.398 0.204
Si 0.602 0.602 0.796
Au 0.000 0.000 0.000
Mg 0.750 0.250 0.500
Mg 0.250 0.750 0.500
! energy = -3.251 eV/atom
! theoretical density = 5058 kg/m³
! uncorrected formation energy = 0.211 eV/atom



Listing magnetization for the structures above in their given order: 0.00 0.00 0.00 Bohr magnetons per cell.